## Re2Pt2Rh (PBE)

Data for crystalline Re2Pt2Rh at its relaxed geometry.

- E above lowest polymorph: 0 meV per atom
- E_tot: -8.543 eV/atom
- Energy of formation: 1.612 eV per formula unit

Lattice parameters (Å, degrees): 7.5977 7.5977 2.7582 90.00 90.00 90.00
Last column: nearest neighbours and their distance in Å.
Space group P4/mbm (No. 127)
Unique sites:
Re (0.1748, 0.3252, 0.0000) [4 per cell]  6 Pt 2.57-2.68, 2 Re 2.76
Pt (0.1235, 0.6235, 0.5000) [4 per cell]  6 Re 2.57-2.68, 3 Pt 2.65-2.76
Rh (0.0000, 0.0000, 0.5000) [2 per cell]  2 Rh 2.76, 4 Pt 3.01

=====

## Tb3Nd2Dy6Zr (PBE)

Data for crystalline Tb3Nd2Dy6Zr at its relaxed geometry.

- E_tot: -4.914 eV/atom
- Energy of formation: 0.617 eV per formula unit

Lattice parameters (Å, degrees): 6.1294 10.6018 11.7021 90.00 99.99 90.00
Last column: nearest neighbours and their distance in Å.
Space group C2/m (No. 12)
Unique sites:
Tb (0.0000, 0.0000, 0.0000) [2 per cell]  6 Tb 3.54, 6 Dy 3.55-3.59
Tb (0.0000, 0.3337, 0.0000) [4 per cell]  6 Tb 3.53-3.54, 6 Dy 3.55-3.59
Nd (0.0000, 0.1666, 0.5000) [4 per cell]  6 Dy 3.52, 3 Nd 3.53-3.54, 3 Zr 3.53-3.54
Dy (0.2435, 0.5000, 0.2531) [4 per cell]  6 Dy 3.46-3.58, 1 Zr 3.47, 2 Nd 3.52, 3 Tb 3.55-3.59
Dy (0.2456, 0.3369, 0.7471) [8 per cell]  6 Dy 3.46-3.58, 1 Zr 3.48, 2 Nd 3.52, 3 Tb 3.55-3.59
Zr (0.0000, 0.5000, 0.5000) [2 per cell]  6 Dy 3.47-3.48, 6 Nd 3.53-3.54

=====

## Ti4Be2Ga (PBE)

Data for crystalline Ti4Be2Ga at its relaxed geometry.

- E_tot: -5.853 eV/atom
- Energy of formation: 1.087 eV per formula unit

Lattice parameters (Å, degrees): 4.0930 4.0930 22.7785 90.00 90.00 120.00
Last column: nearest neighbours and their distance in Å.
Space group R-3m (No. 166, hexagonal axes)
Unique sites:
Ti (0.0000, 0.0000, 0.1136) [6 per cell]  3 Be 2.55, 3 Ga 2.65
Ti (0.0000, 0.0000, 0.2975) [6 per cell]  4 Be 2.43-2.49
Be (0.0000, 0.0000, 0.4043) [6 per cell]  1 Ga 2.18, 1 Ti 2.43
Ga (0.0000, 0.0000, 0.5000) [3 per cell]  2 Be 2.18

=====

## InHgB (PBE)

Data for crystalline InHgB at its relaxed geometry.

- E_tot: -2.929 eV/atom
- Energy of formation: 0.930 eV per formula unit

Lattice parameters (Å, degrees): 3.1564 5.2195 8.5478 91.07 99.50 104.42
Last column: nearest neighbours and their distance in Å.
Space group P1 (No. 1)
Unique sites:
In (0.0000, 0.0000, 0.0000) [1 per cell]  2 B 2.63-2.66
In (0.2608, 0.0078, 0.5974) [1 per cell]  2 B 2.63-2.66
Hg (0.1113, 0.5031, 0.7975) [1 per cell]  6 In 3.15-3.49, 2 Hg 3.16
Hg (0.6332, 0.5038, 0.2986) [1 per cell]  2 B 2.33
B (0.3993, 0.0438, 0.2987) [1 per cell]  2 B 1.63
B (0.8673, 0.9639, 0.2988) [1 per cell]  2 B 1.63

=====

## Pr3TmCl (PBE)

Data for crystalline Pr3TmCl at its relaxed geometry.

- E_tot: -4.616 eV/atom
- Formation energy without anion corrections: -0.485 eV/atom

Lattice parameters (Å, degrees): 5.4972 5.4972 5.4972 90.00 90.00 90.00
Last column: nearest neighbours and their distance in Å.
Space group Pm-3m (No. 221)
Unique sites:
Pr (0.0000, 0.0000, 0.5000) [3 per cell]  2 Cl 2.75
Tm (0.5000, 0.5000, 0.5000) [1 per cell]  12 Pr 3.89
Cl (0.0000, 0.0000, 0.0000) [1 per cell]  6 Pr 2.75

=====

## HoTmSn2 (PBE)

Data for crystalline HoTmSn2 at its relaxed geometry.

- E_tot: -4.933 eV/atom
- Energy of formation: -2.677 eV per formula unit

Lattice parameters (Å, degrees): 4.2689 6.0926 8.2820 90.00 90.00 90.00
Last column: nearest neighbours and their distance in Å.
Space group Pmc2_1 (No. 26)
Unique sites:
Ho (0.0000, 0.1250, 0.0000) [2 per cell]  5 Sn 3.06-3.13
Tm (0.5000, 0.3763, 0.6351) [2 per cell]  5 Sn 3.05-3.13
Sn (0.0000, 0.4092, 0.3625) [2 per cell]  2 Sn 2.99, 1 Ho 3.06, 4 Tm 3.11-3.13
Sn (0.5000, 0.0885, 0.2724) [2 per cell]  2 Sn 2.99, 1 Tm 3.05, 4 Ho 3.11-3.13

=====

## NiAgSe2N (PBE)

Data for crystalline NiAgSe2N at its relaxed geometry.

- E above lowest polymorph: 0 meV per atom
- E_tot: -4.260 eV/atom
- Formation energy without anion corrections: 0.525 eV/atom

Lattice parameters (Å, degrees): 5.0930 5.0930 3.3691 90.00 90.00 90.00
Last column: nearest neighbours and their distance in Å.
Space group P4/mmm (No. 123)
Unique sites:
Ni (0.0000, 0.0000, 0.0000) [1 per cell]  2 N 1.68
Ag (0.5000, 0.5000, 0.5000) [1 per cell]  8 Se 3.05, 2 Ag 3.37
Se (0.0000, 0.5000, 0.0000) [2 per cell]  2 Ni 2.55
N (0.0000, 0.0000, 0.5000) [1 per cell]  2 Ni 1.68

=====

## V3CrGe (PBE)

Data for crystalline V3CrGe at its relaxed geometry.

- E above lowest polymorph: 569 meV per atom
- E_tot: -7.532 eV/atom
- Energy of formation: 3.938 eV per formula unit

Lattice parameters (Å, degrees): 4.3017 4.3017 4.3017 90.00 90.00 90.00
Last column: nearest neighbours and their distance in Å.
Space group Pm-3m (No. 221)
Unique sites:
V (0.0000, 0.0000, 0.5000) [3 per cell]  2 Cr 2.15
Cr (0.0000, 0.0000, 0.0000) [1 per cell]  6 V 2.15
Ge (0.5000, 0.5000, 0.5000) [1 per cell]  12 V 3.04

=====

## LaGa2Ir2 (PBE)

Data for crystalline LaGa2Ir2 at its relaxed geometry.

- E_tot: -6.161 eV/atom
- Energy of formation: -2.103 eV per formula unit

Lattice parameters (Å, degrees): 7.7154 7.7154 3.0177 90.00 90.00 90.00
Last column: nearest neighbours and their distance in Å.
Space group P4/mbm (No. 127)
Unique sites:
La (0.0000, 0.0000, 0.0000) [2 per cell]  4 Ir 2.95, 2 La 3.02
Ga (0.1438, 0.3562, 0.5000) [4 per cell]  6 Ir 2.70-2.74, 2 Ga 3.02
Ir (0.1467, 0.6467, 0.0000) [4 per cell]  6 Ga 2.70-2.74, 2 La 2.95, 2 Ir 3.02

=====

## Cr2AgMo (PBE)

Data for crystalline Cr2AgMo at its relaxed geometry.

- E above lowest polymorph: 276 meV per atom
- E_tot: -7.608 eV/atom
- Energy of formation: 2.498 eV per formula unit

Lattice parameters (Å, degrees): 5.4896 8.1257 2.5682 90.00 90.00 90.00
Last column: nearest neighbours and their distance in Å.
Space group Cmmm (No. 65)
Unique sites:
Cr (0.2500, 0.2500, 0.0000) [4 per cell]  4 Cr 2.57-2.74, 4 Mo 2.77, 4 Ag 2.77
Ag (0.0000, 0.0000, 0.5000) [2 per cell]  2 Ag 2.57, 2 Mo 2.74, 8 Cr 2.77
Mo (0.0000, 0.5000, 0.5000) [2 per cell]  2 Mo 2.57, 2 Ag 2.74, 8 Cr 2.77

=====

## Pm2Er5Tm6 (PBE)

Data for crystalline Pm2Er5Tm6 at its relaxed geometry.

- E_tot: -4.447 eV/atom
- Energy of formation: 1.334 eV per formula unit

Lattice parameters (Å, degrees): 11.5641 19.9711 3.5414 90.00 90.00 90.00
Last column: nearest neighbours and their distance in Å.
Space group Pbam (No. 55)
Unique sites:
Pm (0.1663, 0.2142, 0.0000) [4 per cell]  3 Tm 3.35-3.61, 4 Er 3.49-3.53, 2 Pm 3.54
Er (0.0000, 0.5000, 0.5000) [2 per cell]  6 Tm 3.28-3.33, 4 Er 3.54-3.62
Er (0.0929, 0.7765, 0.5000) [4 per cell]  5 Tm 3.27-3.41, 4 Pm 3.49-3.53, 2 Er 3.54
Er (0.1994, 0.0499, 0.5000) [4 per cell]  7 Tm 3.52-3.83, 3 Er 3.54-3.62, 2 Pm 3.75
Tm (0.0587, 0.9211, 0.0000) [4 per cell]  6 Er 3.41-3.52, 5 Tm 3.43-3.66, 1 Pm 3.75
Tm (0.0806, 0.6330, 0.0000) [4 per cell]  6 Er 3.33-3.52, 1 Pm 3.35, 4 Tm 3.47-3.54
Tm (0.1775, 0.3718, 0.5000) [4 per cell]  2 Er 3.27-3.28, 4 Tm 3.47-3.54, 2 Pm 3.61

=====

## Na5Tb3Br12 (PBE)

Data for crystalline Na5Tb3Br12 at its relaxed geometry.

- E_tot: -3.465 eV/atom
- Formation energy without anion corrections: -1.437 eV/atom

Lattice parameters (Å, degrees): 17.0248 17.0248 17.0248 90.00 90.00 90.00
Last column: nearest neighbours and their distance in Å.
Space group Ia-3d (No. 230)
Unique sites:
Na (0.0000, 0.0000, 0.0000) [16 per cell]  6 Br 2.91
Na (0.0000, 0.2500, 0.3750) [24 per cell]  4 Br 2.72
Tb (0.0000, 0.2500, 0.1250) [24 per cell]  8 Br 3.08-3.22
Br (0.0206, 0.0726, 0.6535) [96 per cell]  2 Na 2.72-2.91

=====

## Nb2ReMo6W (PBE)

Data for crystalline Nb2ReMo6W at its relaxed geometry.

- E_tot: -10.503 eV/atom
- Energy of formation: 5.496 eV per formula unit

Lattice parameters (Å, degrees): 7.6993 7.6993 10.0398 90.00 90.00 120.00
Last column: nearest neighbours and their distance in Å.
Space group R32 (No. 155, hexagonal axes)
Unique sites:
Nb (0.0000, 0.0000, 0.2490) [6 per cell]  1 Re 2.50, 1 W 2.52, 6 Mo 2.69-2.71
Re (0.0000, 0.0000, 0.0000) [3 per cell]  2 Nb 2.50, 3 Mo 2.55
Mo (0.0000, 0.3306, 0.0000) [9 per cell]  1 Re 2.55, 2 Nb 2.71
Mo (0.0000, 0.6662, 0.5000) [9 per cell]  1 W 2.57, 2 Nb 2.69
W (0.0000, 0.0000, 0.5000) [3 per cell]  2 Nb 2.52, 3 Mo 2.57

=====

## Al2RhC (PBE)

Data for crystalline Al2RhC at its relaxed geometry.

- E_tot: -5.929 eV/atom
- Energy of formation: 0.344 eV per formula unit

Lattice parameters (Å, degrees): 6.2841 6.2841 5.1937 90.00 90.00 90.00
Last column: nearest neighbours and their distance in Å.
Space group I-42d (No. 122)
Unique sites:
Al (0.1654, 0.2500, 0.1250) [8 per cell]  2 C 1.99
Rh (0.0000, 0.0000, 0.5000) [4 per cell]  2 C 2.60, 8 Al 2.70-2.71
C (0.0000, 0.0000, 0.0000) [4 per cell]  4 Al 1.99

=====

## Bi2OF (PBE)

Data for crystalline Bi2OF at its relaxed geometry.

- E above lowest polymorph: 374 meV per atom
- E_tot: -4.211 eV/atom
- Formation energy without anion corrections: -0.563 eV/atom

Lattice parameters (Å, degrees): 6.5743 6.5743 6.5743 90.00 90.00 90.00
Last column: nearest neighbours and their distance in Å.
Space group Fm-3m (No. 225)
Unique sites:
Bi (0.2500, 0.2500, 0.2500) [8 per cell]  4 O 2.85, 4 F 2.85
O (0.0000, 0.0000, 0.0000) [4 per cell]  8 Bi 2.85
F (0.0000, 0.0000, 0.5000) [4 per cell]  8 Bi 2.85

=====

## Tc2MoOs2 (PBE)

Data for crystalline Tc2MoOs2 at its relaxed geometry.

- E above lowest polymorph: 23 meV per atom
- E_tot: -10.574 eV/atom
- Energy of formation: 1.153 eV per formula unit

Lattice parameters (Å, degrees): 7.4421 7.4421 2.7731 90.00 90.00 90.00
Last column: nearest neighbours and their distance in Å.
Space group P4/mbm (No. 127)
Unique sites:
Tc (0.1244, 0.3756, 0.0000) [4 per cell]  6 Os 2.57-2.62, 3 Tc 2.62-2.77
Mo (0.0000, 0.0000, 0.0000) [2 per cell]  2 Mo 2.77, 4 Tc 2.94, 8 Os 3.09
Os (0.1702, 0.6702, 0.5000) [4 per cell]  6 Tc 2.57-2.62, 2 Os 2.77

=====

## Ba2Pr2O5 (PBE)

Data for crystalline Ba2Pr2O5 at its relaxed geometry.

- E_tot: -7.123 eV/atom
- Formation energy without anion corrections: -2.879 eV/atom

Lattice parameters (Å, degrees): 13.1008 6.9189 6.9313 90.00 90.00 90.00
Last column: nearest neighbours and their distance in Å.
Space group Cmce (No. 64)
Unique sites:
Ba (0.2037, 0.0000, 0.0000) [8 per cell]  7 O 2.67-2.86
Pr (0.0000, 0.1685, 0.3317) [8 per cell]  4 O 2.35-2.58
O (0.0000, 0.0000, 0.0000) [4 per cell]  4 Pr 2.57-2.58, 2 Ba 2.67
O (0.1206, 0.1565, 0.6525) [16 per cell]  1 Pr 2.35

=====

## K2SrInPb2 (PBE)

Data for crystalline K2SrInPb2 at its relaxed geometry.

- E_tot: -2.606 eV/atom
- Energy of formation: -1.602 eV per formula unit

Lattice parameters (Å, degrees): 5.1070 10.3433 8.4867 90.00 90.00 90.00
Last column: nearest neighbours and their distance in Å.
Space group Pmc2_1 (No. 26)
Unique sites:
K (0.0000, 0.0803, 0.0000) [2 per cell]  3 Pb 3.60-3.87, 4 K 3.82-3.91
K (0.5000, 0.1634, 0.3183) [2 per cell]  4 Pb 3.49-3.66, 2 K 3.82
Sr (0.5000, 0.4583, 0.9742) [2 per cell]  5 Pb 3.53-3.57, 2 In 3.61
In (0.0000, 0.3295, 0.6281) [2 per cell]  4 Pb 3.09-3.22
Pb (0.0000, 0.3896, 0.2559) [2 per cell]  2 In 3.10-3.22
Pb (0.5000, 0.1828, 0.7284) [2 per cell]  2 In 3.09

=====

## Ba2Au (PBE)

Data for crystalline Ba2Au at its relaxed geometry.

- E_tot: -2.803 eV/atom
- Energy of formation: -1.287 eV per formula unit

Lattice parameters (Å, degrees): 4.1065 21.1514 5.9260 90.00 90.00 90.00
Last column: nearest neighbours and their distance in Å.
Space group Cmcm (No. 63)
Unique sites:
Ba (0.0000, 0.0626, 0.2500) [4 per cell]  6 Au 3.45-3.61
Ba (0.0000, 0.1930, 0.7500) [4 per cell]  2 Au 3.34
Au (0.0000, 0.4316, 0.2500) [4 per cell]  8 Ba 3.34-3.61

=====

## PaNi9Sb2 (PBE)

Data for crystalline PaNi9Sb2 at its relaxed geometry.

- E_tot: -6.024 eV/atom
- Formation energy without anion corrections: -0.209 eV/atom

Lattice parameters (Å, degrees): 4.8690 4.8690 24.4122 90.00 90.00 120.00
Last column: nearest neighbours and their distance in Å.
Space group R-3m (No. 166, hexagonal axes)
Unique sites:
Pa (0.0000, 0.0000, 0.0000) [3 per cell]  6 Ni 2.81
Ni (0.0000, 0.0000, 0.3333) [6 per cell]  6 Ni 2.46
Ni (0.0000, 0.0000, 0.5000) [3 per cell]  6 Ni 2.49
Ni (0.0012, 0.5006, 0.9173) [18 per cell]  7 Ni 2.43-2.49
Sb (0.0000, 0.0000, 0.1332) [6 per cell]  9 Ni 2.73-2.93